# InAsPb2 | the Alexandria database | PBE | optimized geometry
data_InAsPb2
_cell_length_a 3.884
_cell_length_b 3.884
_cell_length_c 7.429
_cell_angle_alpha 90.00
_cell_angle_beta 90.00
_cell_angle_gamma 90.00
_symmetry_space_group_name_H-M 'P 4/m m m'
_symmetry_Int_Tables_number 123
_symmetry_space_group_name_Hall '-P 4 2'
loop_
_atom_site_label
_atom_site_fract_x
_atom_site_fract_y
_atom_site_fract_z
_atom_site_occupancy
In1 0.000 0.000 0.000 1
As1 0.000 0.000 0.500 1
Pb1 0.500 0.500 0.284 1
# Energy, Ry per atom: -0.267
# Energy of formation, eV per formula unit: 0.3
# Density of states at the Fermi level, states/eV/atom: 0.447
# Relative energy among the computed polymorphs, eV per formula unit: 0.10